# 1
DFT (PBE-GGA) results for a geometry-optimized LiNpIn2 structure.

The structure in extended XYZ format:
```
4
Lattice="3.238 0.000 0.000 0.000 3.238 0.000 0.000 0.000 8.365" Properties=species:S:1:pos:R:3 pbc="T T T"
In 0.000 0.000 6.592
In 0.000 0.000 1.772
Li 1.619 1.619 0.000
Np 1.619 1.619 4.182
```

Results
- formation energy (eV per atom) = -0.06
- D(E_F) (states/eV/cell) = 6.0

***

# 2
DFT (PBE-GGA) results for a geometry-optimized LiNpIn2 structure.

The structure in extended XYZ format:
```
4
Lattice="2.957 0.000 0.000 0.000 5.688 0.000 0.000 0.000 5.688" Properties=species:S:1:pos:R:3 pbc="T T T"
In 0.000 0.000 2.844
In 0.000 2.844 0.000
Li 1.478 0.000 0.000
Np 1.478 2.844 2.844
```

Results
- formation energy (eV per atom) = 0.02
- D(E_F) (states/eV/cell) = 7.2

***

# 3
DFT (PBE-GGA) results for a geometry-optimized LiNpInO6 structure.

The structure in extended XYZ format:
```
18
Lattice="5.271 0.000 0.000 -2.636 4.565 0.000 0.000 0.000 9.419" Properties=species:S:1:pos:R:3 pbc="T T T"
O -1.668 3.042 3.458
O -0.833 4.488 1.252
O 1.668 3.042 1.252
O 0.833 4.488 3.458
O 1.803 0.077 5.961
O 1.800 2.965 5.961
O 0.968 1.523 8.167
O 4.303 1.523 5.961
O 3.471 2.965 8.167
O 3.468 0.077 8.167
O 0.835 1.600 3.458
O -0.835 1.600 1.252
Np 2.636 1.522 7.064
Np 0.000 3.043 2.355
In 0.000 0.000 0.000
In 0.000 0.000 4.709
Li 2.636 1.522 2.355
Li 0.000 3.043 7.064
```

Results
- ΔE_f (raw) (kJ/mol of atoms) = -183.48
- D(E_F) (states/eV/cell) = 16.1

***

# 4
DFT (PBE-GGA) results for a geometry-optimized Li2NpInO6 structure.

The structure in extended XYZ format:
```
10
Lattice="-2.153 4.694 1.440 -5.328 0.564 0.174 -2.493 0.332 5.172" Properties=species:S:1:pos:R:3 pbc="T T T"
Li -4.987 2.966 2.836
Li -2.493 0.447 4.798
O -3.996 3.610 5.075
O -6.583 2.606 4.768
O -4.381 0.966 4.264
O -6.137 1.638 1.824
O -5.767 4.836 2.805
O -3.056 2.931 2.220
In -7.480 4.477 4.162
Np -2.493 1.700 0.708
```

Results
- ΔE_f (raw) (kJ/mol of atoms) = -208.71

***

# 5
DFT (PBE-GGA) results for a geometry-optimized LiNpInO4 structure.

The structure in extended XYZ format:
```
14
Lattice="5.846 -0.262 0.000 -2.589 5.249 0.000 0.000 0.000 7.036" Properties=species:S:1:pos:R:3 pbc="T T T"
O 2.059 3.817 5.277
O 0.068 3.513 3.156
O 0.068 3.513 0.362
O 2.668 3.419 1.759
O 3.190 1.473 3.880
O 0.589 1.567 5.277
O 3.190 1.473 6.674
O 1.198 1.169 1.759
Np 1.629 2.493 3.518
Np 1.629 2.493 0.000
In -1.182 4.330 5.277
In 4.440 0.656 1.759
Li 4.445 0.653 5.277
Li -1.187 4.333 1.759
```

Results
- ΔE_f (raw) (kJ/mol of atoms) = -204.99
- D(E_F) (states/eV/cell) = 4.8

***

# 6
DFT (PBE-GGA) results for a geometry-optimized LiNp2InO8 structure.

The structure in extended XYZ format:
```
12
Lattice="-3.118 -3.890 1.618 2.162 0.250 4.768 -3.124 5.311 -1.742" Properties=species:S:1:pos:R:3 pbc="T T T"
Np -0.720 1.871 3.109
Np -0.478 -1.820 3.193
O -2.786 1.610 2.446
O -4.145 1.852 0.193
O -0.355 0.127 4.373
O -1.602 -2.122 4.983
O -2.732 -1.701 2.870
O -0.832 -0.086 1.997
O -1.583 3.698 2.113
O -2.289 3.307 -0.403
In -3.360 -0.199 1.534
Li 0.000 0.000 0.000
```

Results
- ΔE_f (raw) (kJ/mol of atoms) = -217.69
- D(E_F) (states/eV/cell) = 10.7

***

# 7
DFT (PBE-GGA) results for a geometry-optimized LiNpInPt structure.

The structure in extended XYZ format:
```
4
Lattice="4.814 0.000 0.000 2.407 4.169 0.000 2.407 1.390 3.930" Properties=species:S:1:pos:R:3 pbc="T T T"
Li 0.000 0.000 0.000
Np 7.221 4.169 2.948
In 2.407 1.390 0.983
Pt 4.814 2.779 1.965
```

Results
- formation energy (eV per atom) = -0.29
- D(E_F) (states/eV/cell) = 13.0

***

# 8
DFT (PBE-GGA) results for a geometry-optimized LiNpInRu structure.

The structure in extended XYZ format:
```
4
Lattice="-3.092 -2.306 2.761 1.120 -0.989 4.502 -2.178 2.283 3.542" Properties=species:S:1:pos:R:3 pbc="T T T"
In -2.075 -0.506 5.403
Ru -3.113 -0.759 8.105
Np 0.000 0.000 0.000
Li -1.038 -0.253 2.702
```

Results
- formation energy (eV per atom) = 0.09
- D(E_F) (states/eV/cell) = 10.7

***

# 9
DFT (PBE-GGA) results for a geometry-optimized Li2NpInS4 structure.

The structure in extended XYZ format:
```
8
Lattice="-0.844 -2.068 -3.147 0.198 -5.704 3.696 -6.077 2.487 -0.005" Properties=species:S:1:pos:R:3 pbc="T T T"
S -4.842 -3.465 1.210
S -1.396 -3.671 2.787
S -1.881 -1.820 -0.666
S -4.483 0.454 0.904
Li -2.940 -1.609 1.845
Li -3.460 0.209 -1.576
Np -0.323 -3.886 0.275
In 0.000 0.000 0.000
```

Results
- ΔE_f (raw) (kJ/mol of atoms) = -103.73
- D(E_F) (states/eV/cell) = 10.5

***

# 10
DFT (PBE-GGA) results for a geometry-optimized LiNp2In3S6 structure.

The structure in extended XYZ format:
```
12
Lattice="6.828 -0.013 0.011 -3.424 5.907 0.011 -1.123 -1.944 7.436" Properties=species:S:1:pos:R:3 pbc="T T T"
In 1.141 1.975 3.729
In -2.347 3.989 3.729
In 4.628 -0.039 3.729
S -1.203 2.071 1.520
S 0.047 0.081 6.012
S -0.114 3.956 5.938
S 2.395 -0.007 1.520
S 2.234 3.868 1.446
S 3.484 1.878 5.938
Np -0.011 3.936 0.011
Np 3.415 1.958 0.011
Li 0.000 0.000 0.000
```

Results
- ΔE_f (raw) (kJ/mol of atoms) = -87.58
- D(E_F) (states/eV/cell) = 14.3

***

# 11
DFT (PBE-GGA) results for a geometry-optimized LiNpInS4 structure.

The structure in extended XYZ format:
```
14
Lattice="7.657 0.000 0.000 3.829 6.792 0.003 3.829 2.072 6.468" Properties=species:S:1:pos:R:3 pbc="T T T"
In 5.743 1.036 3.234
In 1.914 1.036 3.234
S 5.620 3.264 4.861
S 3.829 2.123 1.793
S 5.620 5.600 1.610
S 9.695 5.600 1.610
S 7.657 6.786 4.712
S 7.657 2.078 1.759
S 11.486 6.740 4.678
S 9.695 3.264 4.861
Np 0.000 0.000 0.000
Np 3.829 4.432 3.236
Li 7.657 4.427 5.710
Li 7.657 4.437 0.762
```

Results
- ΔE_f (raw) (kJ/mol of atoms) = -97.53
- D(E_F) (states/eV/cell) = 18.9

***

# 12
DFT (PBE-GGA) results for a geometry-optimized Li4Np3InS8 structure.

The structure in extended XYZ format:
```
16
Lattice="7.879 0.000 0.000 0.000 7.618 -0.190 -3.940 -3.935 5.575" Properties=species:S:1:pos:R:3 pbc="T T T"
Li 3.940 0.000 0.000
Li -1.970 -1.968 2.787
Li 0.000 0.000 0.000
Li 1.970 -1.968 2.787
S -1.976 -2.034 5.521
S 1.976 -2.034 5.521
S 3.940 -0.072 2.742
S 0.000 -0.064 2.739
S 3.940 3.747 2.645
S 0.000 3.755 2.643
S 1.964 5.717 -0.137
S 5.915 5.717 -0.137
Np 3.940 3.809 -0.095
Np -1.970 1.841 2.692
Np 1.970 1.841 2.692
In 0.000 3.809 -0.095
```

Results
- ΔE_f (raw) (kJ/mol of atoms) = -116.94
- D(E_F) (states/eV/cell) = 31.8